The following is a DFT calculation (PBE-GGA) of crystalline SrZrHg4 at its relaxed geometry.

Properties
Calculated formation energy in eV per atom: 0.03
Total moment in μB per formula unit: 0.80

a b c (Å): 8.456 8.456 8.456
angles (deg): 90.00 90.00 90.00
Space group F-43m (No. 216)
Asymmetric unit:
Sr: 0.000 0.000 0.000
Zr: 0.250 0.250 0.750
Hg: 0.124 0.124 0.376